First-principles (PBE) data for a relaxed Mo2AsP crystal, as listed in Alexandria.

Polymorph energy (0 for the lowest one) ... 238 meV per atom
Crystal system ... cubic

Cell lengths 4.3387, 4.3387, 4.3387 Å; angles 60.00, 60.00, 60.00 degrees
With the nearest neighbours (Å) after each atom.
Atoms (fractional coordinates):
P  0.0000  0.0000  0.0000  8 Mo 2.66
Mo  0.2500  0.2500  0.2500  4 As 2.66, 4 P 2.66
Mo  0.7500  0.7500  0.7500  4 As 2.66, 4 P 2.66
As  0.5000  0.5000  0.5000  8 Mo 2.66

---

First-principles (PBE) data for a relaxed CsKInF6 crystal, as listed in Alexandria.

E_form (uncorrected) ... -2.363 eV/atom
Crystal system ... orthorhombic

Cell lengths 8.1374, 8.1800, 8.0450 Å; angles 120.56, 120.38, 90.00 degrees
With the nearest neighbours (Å) after each atom.
Atoms (fractional coordinates):
Cs  0.8429  0.5929  0.6858  9 F 2.96-3.28
Cs  0.1571  0.4071  0.3142  9 F 2.96-3.28
K  0.5000  0.0000  0.5000  6 F 2.59-2.81
K  0.0000  0.0000  0.5000  6 F 2.59-2.81
In  0.5000  0.5000  0.0000  6 F 2.07-2.16
In  0.5000  0.0000  0.0000  6 F 2.07-2.16
F  0.5625  0.8125  0.1251  2 In 2.16
F  0.8929  0.1429  0.7859  2 K 2.59
F  0.8067  0.1704  0.2569  1 In 2.07
F  0.4502  0.5864  0.2569  1 In 2.07
F  0.4502  0.1704  0.2569  1 In 2.07
F  0.8067  0.5864  0.2569  1 In 2.07
F  0.4375  0.1875  0.8749  2 In 2.16
F  0.1071  0.8571  0.2141  2 K 2.59
F  0.1933  0.8296  0.7431  1 In 2.07
F  0.5498  0.4136  0.7431  1 In 2.07
F  0.5498  0.8296  0.7431  1 In 2.07
F  0.1933  0.4136  0.7431  1 In 2.07

---

First-principles (PBE) data for a relaxed Rb2Cd2Sb crystal, as listed in Alexandria.

E_form (uncorrected) ... -0.145 eV/atom
Polymorph energy (0 for the lowest one) ... 0 meV per atom
Crystal system ... tetragonal

Cell lengths 8.0006, 8.0006, 5.8599 Å; angles 90.00, 90.00, 90.00 degrees
With the nearest neighbours (Å) after each atom.
Atoms (fractional coordinates):
Sb  0.0000  0.0000  0.0000  4 Cd 3.14
Sb  0.5000  0.5000  0.0000  4 Cd 3.14
Rb  0.1864  0.6864  0.5000  6 Cd 3.60-3.89
Rb  0.6864  0.8136  0.5000  6 Cd 3.60-3.89
Rb  0.8136  0.3136  0.5000  6 Cd 3.60-3.89
Rb  0.3136  0.1864  0.5000  6 Cd 3.60-3.89
Cd  0.3715  0.8715  0.0000  1 Cd 2.91, 2 Sb 3.14
Cd  0.8715  0.6285  0.0000  1 Cd 2.91, 2 Sb 3.14
Cd  0.6285  0.1285  0.0000  1 Cd 2.91, 2 Sb 3.14
Cd  0.1285  0.3715  0.0000  1 Cd 2.91, 2 Sb 3.14

---

First-principles (PBE) data for a relaxed CePm2Y3 crystal, as listed in Alexandria.

Polymorph energy (0 for the lowest one) ... 116 meV per atom
Crystal system ... orthorhombic

Cell lengths 3.5049, 16.3264, 6.9528 Å; angles 90.00, 90.00, 90.00 degrees
With the nearest neighbours (Å) after each atom.
Atoms (fractional coordinates):
Ce  0.0000  0.0000  0.5000  6 Y 3.48-3.54, 2 Ce 3.50, 4 Pm 3.52
Ce  0.5000  0.5000  0.0000  6 Y 3.48-3.54, 2 Ce 3.50, 4 Pm 3.52
Pm  0.5000  0.8465  0.2497  6 Y 3.45-3.57, 2 Pm 3.50, 2 Ce 3.52
Pm  0.0000  0.3465  0.2503  6 Y 3.45-3.57, 2 Pm 3.50, 2 Ce 3.52
Pm  0.0000  0.6535  0.7497  6 Y 3.45-3.57, 2 Pm 3.50, 2 Ce 3.52
Pm  0.5000  0.1535  0.7503  6 Y 3.45-3.57, 2 Pm 3.50, 2 Ce 3.52
Y  0.0000  0.0000  0.0000  2 Ce 3.48, 6 Y 3.50-3.56, 4 Pm 3.52
Y  0.5000  0.5000  0.5000  2 Ce 3.48, 6 Y 3.50-3.56, 4 Pm 3.52
Y  0.5000  0.8437  0.7461  4 Pm 3.45-3.57, 4 Y 3.50-3.56, 2 Ce 3.54
Y  0.5000  0.1563  0.2539  4 Pm 3.45-3.57, 4 Y 3.50-3.56, 2 Ce 3.54
Y  0.0000  0.3437  0.7539  4 Pm 3.45-3.57, 4 Y 3.50-3.56, 2 Ce 3.54
Y  0.0000  0.6563  0.2461  4 Pm 3.45-3.57, 4 Y 3.50-3.56, 2 Ce 3.54

---

First-principles (PBE) data for a relaxed PmErZn10 crystal, as listed in Alexandria.

Crystal system ... orthorhombic

Cell lengths 4.2237, 5.3351, 9.2145 Å; angles 90.00, 90.00, 90.00 degrees
With the nearest neighbours (Å) after each atom.
Atoms (fractional coordinates):
Pm  0.0000  0.0000  0.0000  18 Zn 3.10-3.42
Er  0.0000  0.5000  0.5000  14 Zn 3.03-3.38
Zn  0.0000  0.0000  0.3382  6 Zn 2.59-2.62
Zn  0.0000  0.5000  0.8290  6 Zn 2.60-2.64
Zn  0.0000  0.5000  0.1710  6 Zn 2.60-2.64
Zn  0.0000  0.0000  0.6618  6 Zn 2.59-2.62
Zn  0.5000  0.0000  0.5000  8 Zn 2.59-2.64
Zn  0.5000  0.5000  0.0000  8 Zn 2.64-2.68
Zn  0.5000  0.2513  0.2526  8 Zn 2.60-2.68
Zn  0.5000  0.7487  0.7474  8 Zn 2.60-2.68
Zn  0.5000  0.7487  0.2526  8 Zn 2.60-2.68
Zn  0.5000  0.2513  0.7474  8 Zn 2.60-2.68

---

First-principles (PBE) data for a relaxed Li5Al2Ag4 crystal, as listed in Alexandria.

Crystal system ... monoclinic

Cell lengths 2.8390, 7.4381, 9.0905 Å; angles 85.79, 90.00, 90.00 degrees
With the nearest neighbours (Å) after each atom.
Atoms (fractional coordinates):
Li  0.0000  0.4567  0.3391  1 Al 2.77, 4 Ag 2.83-2.99, 4 Li 2.84-3.08
Li  0.0000  0.8427  0.1372  1 Al 2.78, 6 Ag 2.82-3.05, 3 Li 2.84-2.92
Li  0.0000  0.5000  0.0000  4 Ag 2.78, 6 Li 2.84-3.08
Li  0.0000  0.1573  0.8628  1 Al 2.78, 6 Ag 2.82-3.05, 3 Li 2.84-2.92
Li  0.0000  0.5433  0.6609  1 Al 2.77, 4 Ag 2.83-2.99, 4 Li 2.84-3.08
Al  0.0000  0.9170  0.6429  6 Ag 2.65-2.79, 2 Li 2.77-2.78, 3 Al 2.79-2.84
Al  0.0000  0.0830  0.3571  6 Ag 2.65-2.79, 2 Li 2.77-2.78, 3 Al 2.79-2.84
Ag  0.5000  0.2369  0.5801  4 Al 2.79, 6 Li 2.83-2.99, 2 Ag 2.84
Ag  0.5000  0.7941  0.8755  2 Al 2.65, 4 Li 2.78-2.82, 2 Ag 2.84
Ag  0.5000  0.7631  0.4199  4 Al 2.79, 6 Li 2.83-2.99, 2 Ag 2.84
Ag  0.5000  0.2059  0.1245  2 Al 2.65, 4 Li 2.78-2.82, 2 Ag 2.84

---

First-principles (PBE) data for a relaxed PmSmTc4 crystal, as listed in Alexandria.

Crystal system ... cubic

Cell lengths 5.4671, 5.4671, 5.4671 Å; angles 60.00, 60.00, 60.00 degrees
With the nearest neighbours (Å) after each atom.
Atoms (fractional coordinates):
Tc  0.6250  0.6250  0.1251  6 Tc 2.73
Tc  0.6250  0.1251  0.6250  6 Tc 2.73
Tc  0.6250  0.6250  0.6250  6 Tc 2.73
Tc  0.1251  0.6250  0.6250  6 Tc 2.73
Sm  0.2500  0.2500  0.2500  12 Tc 3.21, 4 Pm 3.35
Pm  0.0000  0.0000  0.0000  12 Tc 3.21, 4 Sm 3.35

---

First-principles (PBE) data for a relaxed Li2GePN4 crystal, as listed in Alexandria.

E_form (uncorrected) ... -0.412 eV/atom
Crystal system ... tetragonal

Cell lengths 4.6589, 4.6593, 5.1332 Å; angles 116.99, 116.99, 90.00 degrees
With the nearest neighbours (Å) after each atom.
Atoms (fractional coordinates):
Li  0.4860  0.9860  0.9718  4 N 2.08
Li  0.2358  0.2359  0.4717  4 N 2.16
Ge  0.9858  0.4858  0.9717  4 N 1.86
P  0.7359  0.7359  0.4718  4 N 1.65
N  0.6681  0.6290  0.7077  1 P 1.65
N  0.8428  0.4322  0.2358  1 P 1.65
N  0.3929  0.8036  0.2358  1 P 1.65
N  0.0396  0.0788  0.7077  1 P 1.65

---

Results for uncorrected energy: -8.10, -4.13, -1.72, -5.64, -2.12, -2.75, -8.49, -6.31 (in eV/atom, following the order of the records).